DFT (PBE) results for Nd2Y4Ho5 after structural relaxation.

Cell: 12.630 12.630 12.630 Å, 164.03 138.01 45.20°
Fractional positions:
Nd: 0.233 0.233 0.000
Nd: 0.767 0.767 0.000
Y: 0.098 0.098 0.000
Y: 0.191 0.500 0.691
Y: 0.809 0.500 0.309
Y: 0.902 0.902 0.000
Ho: 0.165 0.358 0.807
Ho: 0.448 0.642 0.807
Ho: 0.500 0.000 0.500
Ho: 0.552 0.358 0.193
Ho: 0.835 0.642 0.193

## Properties
energy above the most stable polymorph in this dataset: 7.41 kJ per mole of atoms
calculated formation energy: 0.23 eV/atom
N(E_F): 1.528 states/eV/atom
DFT total energy: -55.8 eV for the cell shown
space-group type: No. 71



DFT (PBE) results for TbNdDy6 after structural relaxation.

Cell: 6.070 6.070 8.507 Å, 101.82 101.82 68.18°
Fractional positions:
Tb: 0.000 0.000 0.000
Nd: 0.000 0.000 0.500
Dy: 0.064 0.542 0.199
Dy: 0.373 0.373 0.576
Dy: 0.458 0.936 0.801
Dy: 0.542 0.064 0.199
Dy: 0.627 0.627 0.424
Dy: 0.936 0.458 0.801

## Properties
energy above the most stable polymorph in this dataset: 33.71 kJ per mole of atoms
calculated formation energy: 0.37 eV/atom
N(E_F): 1.415 states/eV/atom
DFT total energy: -34.1 eV for the cell shown
space-group type: No. 12



DFT (PBE) results for PmTmGaSn after structural relaxation.

Cell: 5.254 5.254 5.254 Å, 60.00 60.00 60.00°
Fractional positions:
Pm: 0.000 0.000 0.000
Tm: 0.500 0.500 0.500
Ga: 0.750 0.750 0.750
Sn: 0.250 0.250 0.250

## Properties
energy above the most stable polymorph in this dataset: 14.75 kJ per mole of atoms
calculated formation energy: -0.53 eV/atom
N(E_F): 0.772 states/eV/atom
DFT total energy: -18.4 eV for the cell shown
space-group type: No. 216



DFT (PBE) results for K2TcCl4F2 after structural relaxation.

Cell: 6.660 6.660 6.349 Å, 110.75 110.75 64.21°
Fractional positions:
K: 0.208 0.208 0.273
K: 0.792 0.792 0.727
Tc: 0.500 0.500 0.000
Cl: 0.193 0.672 0.188
Cl: 0.328 0.807 0.812
Cl: 0.672 0.193 0.188
Cl: 0.807 0.328 0.812
F: 0.327 0.327 0.734
F: 0.673 0.673 0.266

## Properties
DFT total energy: -39.1 eV for the cell shown
uncorrected formation energy: -15.4 eV/f.u.
space-group type: No. 12



DFT (PBE) results for Ga2CoSeBr after structural relaxation.

Cell: 5.648 5.648 4.422 Å, 90.00 90.00 90.00°
Fractional positions:
Ga: 0.000 0.500 0.000
Ga: 0.500 0.000 0.000
Co: 0.000 0.000 0.500
Se: 0.500 0.500 0.500
Br: 0.000 0.000 0.000

## Properties
N(E_F): 0.890 states/eV/atom
DFT total energy: -15.2 eV for the cell shown
uncorrected formation energy: 3.1 eV/f.u.
space-group type: No. 123



DFT (PBE) results for BaZn3Rh after structural relaxation.

Cell: 4.318 5.853 8.868 Å, 90.00 103.94 90.00°
Fractional positions:
Ba: 0.068 0.250 0.134
Ba: 0.932 0.750 0.866
Zn: 0.165 0.750 0.328
Zn: 0.296 0.506 0.593
Zn: 0.296 0.994 0.593
Zn: 0.704 0.006 0.407
Zn: 0.704 0.494 0.407
Zn: 0.835 0.250 0.672
Rh: 0.414 0.250 0.833
Rh: 0.586 0.750 0.167

## Properties
energy above the most stable polymorph in this dataset: 17.94 kJ per mole of atoms
calculated formation energy: -0.17 eV/atom
N(E_F): 0.480 states/eV/atom
DFT total energy: -27.9 eV for the cell shown
space-group type: No. 11



DFT (PBE) results for CaTcRh after structural relaxation.

Cell: 3.140 5.168 7.872 Å, 84.28 89.94 72.48°
Fractional positions:
Ca: 0.000 0.000 0.000
Ca: 0.234 0.525 0.667
Tc: 0.621 0.759 0.333
Tc: 0.948 0.106 0.401
Rh: 0.294 0.418 0.189
Rh: 0.504 0.995 0.672

## Properties
energy above the most stable polymorph in this dataset: 17.23 kJ per mole of atoms
calculated formation energy: 0.08 eV/atom
N(E_F): 0.712 states/eV/atom
DFT total energy: -39.0 eV for the cell shown
space-group type: No. 1



DFT (PBE) results for RbCaTa after structural relaxation.

Cell: 4.591 4.592 15.286 Å, 81.94 81.89 60.04°
Fractional positions:
Rb: 0.221 0.225 0.358
Rb: 0.779 0.775 0.642
Ca: 0.040 0.039 0.873
Ca: 0.960 0.961 0.127
Ta: 0.333 0.333 0.000
Ta: 0.667 0.667 0.000

## Properties
energy above the most stable polymorph in this dataset: 12.06 kJ per mole of atoms
calculated formation energy: 0.52 eV/atom
N(E_F): 0.877 states/eV/atom
DFT total energy: -26.5 eV for the cell shown
space-group type: No. 2



DFT (PBE) results for LaY3Al4 after structural relaxation.

Cell: 5.170 5.170 7.332 Å, 90.00 90.00 90.00°
Fractional positions:
La: 0.000 0.000 0.000
Y: 0.000 0.000 0.500
Y: 0.500 0.500 0.000
Y: 0.500 0.500 0.500
Al: 0.000 0.500 0.262
Al: 0.000 0.500 0.738
Al: 0.500 0.000 0.262
Al: 0.500 0.000 0.738

## Properties
calculated formation energy: -0.40 eV/atom
N(E_F): 0.371 states/eV/atom
DFT total energy: -42.5 eV for the cell shown
space-group type: No. 123



DFT (PBE) results for Sr4YCr after structural relaxation.

Cell: 7.228 7.228 7.228 Å, 60.00 60.00 60.00°
Fractional positions:
Sr: 0.125 0.125 0.125
Sr: 0.125 0.125 0.626
Sr: 0.125 0.626 0.125
Sr: 0.626 0.125 0.125
Y: 0.750 0.750 0.750
Cr: 0.500 0.500 0.500

## Properties
calculated formation energy: 0.79 eV/atom
N(E_F): 1.684 states/eV/atom
DFT total energy: -18.1 eV for the cell shown
space-group type: No. 216



DFT (PBE) results for KTaHg2 after structural relaxation.

Cell: 4.888 4.888 7.791 Å, 94.50 94.50 34.96°
Fractional positions:
K: 0.000 0.000 0.000
Ta: 0.500 0.500 0.500
Hg: 0.242 0.242 0.688
Hg: 0.758 0.758 0.312

## Properties
energy above the most stable polymorph in this dataset: 13.42 kJ per mole of atoms
calculated formation energy: 0.52 eV/atom
N(E_F): 0.716 states/eV/atom
DFT total energy: -11.5 eV for the cell shown
space-group type: No. 12



DFT (PBE) results for La3Cu2Ge3 after structural relaxation.

Cell: 5.878 5.878 14.932 Å, 90.00 90.00 135.50°
Fractional positions:
La: 0.095 0.905 0.609
La: 0.095 0.905 0.891
La: 0.377 0.623 0.750
La: 0.623 0.377 0.250
La: 0.905 0.095 0.109
La: 0.905 0.095 0.391
Cu: 0.203 0.797 0.094
Cu: 0.203 0.797 0.406
Cu: 0.797 0.203 0.594
Cu: 0.797 0.203 0.906
Ge: 0.323 0.677 0.250
Ge: 0.385 0.615 0.540
Ge: 0.385 0.615 0.960
Ge: 0.615 0.385 0.040
Ge: 0.615 0.385 0.460
Ge: 0.677 0.323 0.750

## Properties
calculated formation energy: -0.66 eV/atom
N(E_F): 0.685 states/eV/atom
DFT total energy: -84.2 eV for the cell shown
space-group type: No. 63